Entry 1:
VASP calculation (PBE) on a relaxed KScTi crystal.

```
data_KScTi
_chemical_formula_sum 'K1 Sc1 Ti1'
_space_group_name_H-M_alt 'P 1'
_space_group_IT_number 1
_cell_length_a 5.701
_cell_length_b 5.701
_cell_length_c 3.034
_cell_angle_alpha 90.00
_cell_angle_beta 90.00
_cell_angle_gamma 120.00
loop_
_space_group_symop_operation_xyz
'x,y,z'
loop_
_atom_site_label
_atom_site_type_symbol
_atom_site_fract_x
_atom_site_fract_y
_atom_site_fract_z
K1 K 0.000 0.000 0.000
Sc1 Sc 0.333 0.667 0.500
Ti1 Ti 0.667 0.333 0.500
```

Properties
Energy relative to the elements   1.0146 eV per atom
Space group   No. 187
Mass density   2.57 g/cm³
Total magnetization   2.22 μB per cell
Density of states at the Fermi level   7.02 states/eV per cell
Excess energy over the best structure of this formula in the dataset   75.0 kJ per mole of atoms

Entry 2:
VASP calculation (PBE) on a relaxed Sm4TeAuS2 crystal.

```
data_Sm4TeAuS2
_chemical_formula_sum 'Sm4 Te1 Au1 S2'
_space_group_name_H-M_alt 'P 1'
_space_group_IT_number 1
_cell_length_a 7.176
_cell_length_b 4.075
_cell_length_c 7.460
_cell_angle_alpha 90.00
_cell_angle_beta 107.99
_cell_angle_gamma 90.00
loop_
_space_group_symop_operation_xyz
'x,y,z'
loop_
_atom_site_label
_atom_site_type_symbol
_atom_site_fract_x
_atom_site_fract_y
_atom_site_fract_z
Sm1 Sm 0.232 0.000 0.217
Sm2 Sm 0.252 0.500 0.773
Sm3 Sm 0.748 0.500 0.227
Sm4 Sm 0.768 0.000 0.783
Te1 Te 0.500 0.500 0.500
Au1 Au 0.000 0.000 0.500
S1 S 0.000 0.500 0.000
S2 S 0.500 0.000 0.000
```

Properties
Uncorrected formation energy   -1525 meV/atom
Space group   No. 10
Mass density   7.92 g/cm³
Total magnetization   0.00 μB per cell
Density of states at the Fermi level   4.64 states/eV per cell

Entry 3:
VASP calculation (PBE) on a relaxed PmCuPbSe3 crystal.

```
data_PmCuPbSe3
_chemical_formula_sum 'Pm2 Cu2 Pb2 Se6'
_space_group_name_H-M_alt 'P 1'
_space_group_IT_number 1
_cell_length_a 8.728
_cell_length_b 4.123
_cell_length_c 9.103
_cell_angle_alpha 90.00
_cell_angle_beta 102.96
_cell_angle_gamma 90.00
loop_
_space_group_symop_operation_xyz
'x,y,z'
loop_
_atom_site_label
_atom_site_type_symbol
_atom_site_fract_x
_atom_site_fract_y
_atom_site_fract_z
Pm1 Pm 0.174 0.250 0.173
Pm2 Pm 0.826 0.750 0.827
Cu1 Cu 0.421 0.750 0.422
Cu2 Cu 0.579 0.250 0.578
Pb1 Pb 0.317 0.750 0.767
Pb2 Pb 0.683 0.250 0.233
Se1 Se 0.069 0.250 0.835
Se2 Se 0.284 0.250 0.497
Se3 Se 0.402 0.750 0.139
Se4 Se 0.598 0.250 0.861
Se5 Se 0.716 0.750 0.503
Se6 Se 0.931 0.750 0.165
```

Properties
Uncorrected formation energy   -995 meV/atom
Space group   No. 11
Mass density   6.79 g/cm³
Total magnetization   0.00 μB per cell

Entry 4:
VASP calculation (PBE) on a relaxed Tb3TmGa4 crystal.

```
data_Tb3TmGa4
_chemical_formula_sum 'Tb3 Tm1 Ga4'
_space_group_name_H-M_alt 'P 1'
_space_group_IT_number 1
_cell_length_a 9.127
_cell_length_b 9.127
_cell_length_c 9.127
_cell_angle_alpha 157.19
_cell_angle_beta 136.89
_cell_angle_gamma 49.32
loop_
_space_group_symop_operation_xyz
'x,y,z'
loop_
_atom_site_label
_atom_site_type_symbol
_atom_site_fract_x
_atom_site_fract_y
_atom_site_fract_z
Tb1 Tb 0.000 0.000 0.000
Tb2 Tb 0.297 0.797 0.500
Tb3 Tb 0.703 0.203 0.500
Tm1 Tm 0.500 0.500 0.000
Ga1 Ga 0.065 0.371 0.694
Ga2 Ga 0.323 0.629 0.694
Ga3 Ga 0.677 0.371 0.306
Ga4 Ga 0.935 0.629 0.306
```

Properties
Energy relative to the elements   -0.4623 eV per atom
Space group   No. 71
Mass density   7.64 g/cm³
Total magnetization   0.00 μB per cell
Density of states at the Fermi level   4.54 states/eV per cell
Excess energy over the best structure of this formula in the dataset   11.3 kJ per mole of atoms

Entry 5:
VASP calculation (PBE) on a relaxed Li9Mg2Cd3 crystal.

```
data_Li9Mg2Cd3
_chemical_formula_sum 'Li9 Mg2 Cd3'
_space_group_name_H-M_alt 'P 1'
_space_group_IT_number 1
_cell_length_a 8.178
_cell_length_b 8.178
_cell_length_c 8.178
_cell_angle_alpha 145.79
_cell_angle_beta 113.27
_cell_angle_gamma 77.17
loop_
_space_group_symop_operation_xyz
'x,y,z'
loop_
_atom_site_label
_atom_site_type_symbol
_atom_site_fract_x
_atom_site_fract_y
_atom_site_fract_z
Li1 Li 0.000 0.000 0.000
Li2 Li 0.132 0.290 0.843
Li3 Li 0.234 0.898 0.336
Li4 Li 0.438 0.102 0.336
Li5 Li 0.447 0.290 0.157
Li6 Li 0.553 0.710 0.843
Li7 Li 0.562 0.898 0.664
Li8 Li 0.766 0.102 0.664
Li9 Li 0.868 0.710 0.157
Mg1 Mg 0.186 0.686 0.500
Mg2 Mg 0.814 0.314 0.500
Cd1 Cd 0.186 0.500 0.686
Cd2 Cd 0.500 0.500 0.000
Cd3 Cd 0.814 0.500 0.314
```

Properties
Energy relative to the elements   -0.1067 eV per atom
Space group   No. 71
Mass density   2.69 g/cm³
Total magnetization   0.00 μB per cell
Density of states at the Fermi level   4.54 states/eV per cell

Entry 6:
VASP calculation (PBE) on a relaxed Na2LiBiI crystal.

```
data_Na2LiBiI
_chemical_formula_sum 'Na2 Li1 Bi1 I1'
_space_group_name_H-M_alt 'P 1'
_space_group_IT_number 1
_cell_length_a 6.222
_cell_length_b 6.222
_cell_length_c 4.726
_cell_angle_alpha 90.00
_cell_angle_beta 90.00
_cell_angle_gamma 90.00
loop_
_space_group_symop_operation_xyz
'x,y,z'
loop_
_atom_site_label
_atom_site_type_symbol
_atom_site_fract_x
_atom_site_fract_y
_atom_site_fract_z
Na1 Na 0.000 0.500 0.000
Na2 Na 0.500 0.000 0.000
Li1 Li 0.000 0.000 0.000
Bi1 Bi 0.500 0.500 0.500
I1 I 0.000 0.000 0.500
```

Properties
Uncorrected formation energy   -101 meV/atom
Space group   No. 123
Mass density   3.53 g/cm³
Total magnetization   0.43 μB per cell
Density of states at the Fermi level   3.97 states/eV per cell

Entry 7:
VASP calculation (PBE) on a relaxed Rb2BaInBi2 crystal.

```
data_Rb2BaInBi2
_chemical_formula_sum 'Rb4 Ba2 In2 Bi4'
_space_group_name_H-M_alt 'P 1'
_space_group_IT_number 1
_cell_length_a 5.281
_cell_length_b 10.452
_cell_length_c 9.390
_cell_angle_alpha 90.00
_cell_angle_beta 90.00
_cell_angle_gamma 90.00
loop_
_space_group_symop_operation_xyz
'x,y,z'
loop_
_atom_site_label
_atom_site_type_symbol
_atom_site_fract_x
_atom_site_fract_y
_atom_site_fract_z
Rb1 Rb 0.000 0.089 0.000
Rb2 Rb 0.000 0.911 0.500
Rb3 Rb 0.500 0.167 0.329
Rb4 Rb 0.500 0.833 0.829
Ba1 Ba 0.500 0.458 0.966
Ba2 Ba 0.500 0.542 0.466
In1 In 0.000 0.325 0.623
In2 In 0.000 0.675 0.123
Bi1 Bi 0.000 0.402 0.248
Bi2 Bi 0.000 0.598 0.748
Bi3 Bi 0.500 0.187 0.719
Bi4 Bi 0.500 0.813 0.219
```

Properties
Energy relative to the elements   -0.5026 eV per atom
Space group   No. 26
Mass density   5.39 g/cm³
Total magnetization   0.00 μB per cell
Density of states at the Fermi level   4.00 states/eV per cell

Look up the mass density of the second one. 7.92 g/cm³

The highest total magnetization belongs to which entry? KScTi